ZnCrHg2F | PBE with a Hubbard U | optimized geometry

Lattice parameters (Å, degrees): 5.0830 5.0830 5.1907 90.00 90.00 90.00
With the nearest neighbours (Å) after each atom.
Space group P4/mmm (No. 123)
Inequivalent atoms, fractional coordinates:
Zn (0.0000, 0.0000, 0.0000) [1 per cell]  4 Hg 2.54, 2 Cr 2.60
Cr (0.0000, 0.0000, 0.5000) [1 per cell]  2 Zn 2.60
Hg (0.0000, 0.5000, 0.0000) [2 per cell]  2 Zn 2.54
F (0.5000, 0.5000, 0.5000) [1 per cell]  4 Cr 3.59, 8 Hg 3.63

Computed properties:
total magnetic moment: 5.08 μB per cell
E_tot: -11.04 eV/cell